Record 1
VASP calculation (GGA-PBE) on an optimized crystal structure of Ac2SmPd3Au12.

Computed properties:
The calculation puts the energy of formation from the pure elements at -105.0 meV/atom. For the total energy, the calculation gives -209.20 eV/cell.

Lattice parameters (Å, degrees): 9.0142 9.0142 20.0157 90.00 90.00 120.00
Space group R-3m (No. 166, hexagonal axes)
Inequivalent atoms, fractional coordinates:
Ac 0.0000 0.0000 0.1041
Sm 0.0000 0.0000 0.5000
Pd 0.0000 0.5000 0.0000
Au 0.0035 0.5017 0.3583
Au 0.0282 0.5141 0.8684


Record 2
VASP calculation (GGA-PBE) on an optimized crystal structure of Sr2Mg3Cd12In.

Computed properties:
The calculation puts the energy of formation from the pure elements at -51.9 meV/atom. For the total energy, the calculation gives -68.41 eV/cell.

Lattice parameters (Å, degrees): 6.7704 6.7704 37.4348 90.00 90.00 120.00
Space group R-3m (No. 166, hexagonal axes)
Inequivalent atoms, fractional coordinates:
Sr 0.0000 0.0000 0.1404
Mg 0.0000 0.5000 0.0000
Cd 0.0150 0.5075 0.8910
Cd 0.0444 0.5222 0.6133
In 0.0000 0.0000 0.5000


Record 3
VASP calculation (GGA-PBE) on an optimized crystal structure of As2Ir2Pt.

Computed properties:
The calculation puts the energy of formation from the pure elements at 165.5 meV/atom. For the total energy, the calculation gives -64.47 eV/cell.

Lattice parameters (Å, degrees): 3.8667 3.8667 11.3444 90.00 90.00 90.00
Space group I4/mmm (No. 139)
Inequivalent atoms, fractional coordinates:
As 0.0000 0.5000 0.2500
Ir 0.0000 0.0000 0.1146
Pt 0.0000 0.0000 0.5000


Record 4
VASP calculation (GGA-PBE) on an optimized crystal structure of SmMn5Si3.

Computed properties:
The uncorrected formation energy comes out at -0.368 eV per atom. For the total energy, the calculation gives -280.59 eV/cell.

Lattice parameters (Å, degrees): 3.8421 12.1683 11.2165 90.00 90.00 90.00
Space group Cmcm (No. 63)
Inequivalent atoms, fractional coordinates:
Sm 0.0000 0.1671 0.2500
Mn 0.0000 0.0000 0.0000
Mn 0.0000 0.1918 0.5556
Mn 0.0000 0.4430 0.1484
Si 0.0000 0.1214 0.7500
Si 0.0000 0.3821 0.5530


Record 5
VASP calculation (GGA-PBE) on an optimized crystal structure of CaCoReIr2.

Computed properties:
The calculation puts the energy of formation from the pure elements at 2928.5 meV/atom. For the total energy, the calculation gives -24.63 eV/cell.

Lattice parameters (Å, degrees): 4.6831 4.6831 4.6677 90.00 90.00 90.00
Space group P4/mmm (No. 123)
Inequivalent atoms, fractional coordinates:
Ca 0.0000 0.0000 0.0000
Co 0.5000 0.5000 0.5000
Re 0.0000 0.0000 0.5000
Ir 0.0000 0.5000 0.0000


Record 6
VASP calculation (GGA-PBE) on an optimized crystal structure of InAgAs2O8.

Computed properties:
The uncorrected formation energy comes out at -0.846 eV per atom. For the total energy, the calculation gives -129.42 eV/cell.

Lattice parameters (Å, degrees): 7.0417 7.0417 6.3643 90.00 90.00 90.00
Space group I-4m2 (No. 119)
Inequivalent atoms, fractional coordinates:
In 0.0000 0.0000 0.0000
Ag 0.0000 0.5000 0.7500
As 0.0000 0.0000 0.5000
As 0.0000 0.5000 0.2500
O 0.0000 0.1772 0.6886
O 0.0000 0.3138 0.0745